P:
DFT (PBE) results for an optimized crystal structure of BeTeIr.

Cell lengths 4.2302, 4.2302, 4.2302 Å; angles 60.00, 60.00, 60.00 degrees
Fractional coordinates of all 3 atoms:
1 Ir 0.7500 0.7500 0.7500
2 Be 0.5000 0.5000 0.5000
3 Te 0.0000 0.0000 0.0000

Properties
M_tot (μB per cell): 0.0
Fermi-level density of states (states/eV/cell): 0.802
Space group: F-43m

=====

Q:
DFT (PBE) results for an optimized crystal structure of BeTeIr.

Cell lengths 3.1796, 3.1796, 5.6924 Å; angles 90.00, 90.00, 120.00 degrees
Fractional coordinates of all 3 atoms:
1 Ir 0.6667 0.3333 0.2957
2 Te 0.3333 0.6667 0.6635
3 Be 0.0000 0.0000 0.0408

Properties
M_tot (μB per cell): 0.0
Fermi-level density of states (states/eV/cell): 1.896
Space group: P3m1

=====

R:
DFT (PBE) results for an optimized crystal structure of BeTeIr.

Cell lengths 3.9176, 3.9176, 3.7968 Å; angles 90.00, 90.00, 120.00 degrees
Fractional coordinates of all 3 atoms:
1 Be 0.0000 0.0000 0.1669
2 Ir 0.3333 0.6667 0.1665
3 Te 0.6667 0.3333 0.6666

Properties
M_tot (μB per cell): 0.0
Fermi-level density of states (states/eV/cell): 1.149
Space group: P-6m2

=====

Most stable = P

=====

P:
DFT (PBE) results for an optimized crystal structure of BeTeIr.

Cell lengths 4.5116, 4.5116, 4.5116 Å; angles 132.01, 132.06, 70.17 degrees
Fractional coordinates of all 3 atoms:
1 Te 0.3184 0.3184 0.0000
2 Ir 0.6851 0.6851 0.0000
3 Be 0.9965 0.9965 0.0000

Properties
M_tot (μB per cell): 0.0
Fermi-level density of states (states/eV/cell): 0.884
Space group: I4mm

=====

Q:
DFT (PBE) results for an optimized crystal structure of BeTeIr.

Cell lengths 5.8497, 5.8478, 3.1361 Å; angles 74.48, 74.49, 31.10 degrees
Fractional coordinates of all 3 atoms:
1 Te 0.6522 0.6530 0.3478
2 Ir 0.4067 0.4063 0.5933
3 Be 0.9411 0.9407 0.0589

Properties
M_tot (μB per cell): 0.0
Fermi-level density of states (states/eV/cell): 0.798
Space group: I4mm

=====

Most stable = Q